No. 1
The following is a DFT calculation (GGA-PBE) of crystalline ScGa2Tc2 at its relaxed geometry.

Cell and atoms, written as CIF:
```
data_ScGa2Tc2
_chemical_formula_sum 'Sc2 Ga4 Tc4'
_cell_length_a 6.951
_cell_length_b 6.951
_cell_length_c 3.281
_cell_angle_alpha 90.00
_cell_angle_beta 90.00
_cell_angle_gamma 90.00
_space_group_name_H-M_alt 'P 1'
_space_group_IT_number 1
_space_group_name_Hall 'P 1'
loop_
_atom_site_label
_atom_site_type_symbol
_atom_site_fract_x
_atom_site_fract_y
_atom_site_fract_z
Sc1 Sc 0.000 0.000 0.000
Sc2 Sc 0.500 0.500 0.000
Ga1 Ga 0.129 0.371 0.000
Ga2 Ga 0.371 0.871 0.000
Ga3 Ga 0.629 0.129 0.000
Ga4 Ga 0.871 0.629 0.000
Tc1 Tc 0.168 0.668 0.500
Tc2 Tc 0.332 0.168 0.500
Tc3 Tc 0.668 0.832 0.500
Tc4 Tc 0.832 0.332 0.500
```

Energy in eV per atom: -6.937
Energy relative to the lowest polymorph listed for this composition in eV/atom: 0.0000
DFT formation energy in eV per atom: -0.314
M_tot in μB per formula unit: 0.97
Space-group type: P4/mbm, No. 127



No. 2
The following is a DFT calculation (GGA-PBE) of crystalline Sc5Ga4Tc at its relaxed geometry.

Cell and atoms, written as CIF:
```
data_Sc5Ga4Tc
_chemical_formula_sum 'Sc5 Ga4 Tc1'
_cell_length_a 3.350
_cell_length_b 3.350
_cell_length_c 16.568
_cell_angle_alpha 90.00
_cell_angle_beta 90.00
_cell_angle_gamma 90.00
_space_group_name_H-M_alt 'P 1'
_space_group_IT_number 1
_space_group_name_Hall 'P 1'
loop_
_atom_site_label
_atom_site_type_symbol
_atom_site_fract_x
_atom_site_fract_y
_atom_site_fract_z
Sc1 Sc 0.000 0.000 0.000
Sc2 Sc 0.000 0.000 0.205
Sc3 Sc 0.000 0.000 0.410
Sc4 Sc 0.000 0.000 0.590
Sc5 Sc 0.000 0.000 0.795
Ga1 Ga 0.500 0.500 0.103
Ga2 Ga 0.500 0.500 0.310
Ga3 Ga 0.500 0.500 0.690
Ga4 Ga 0.500 0.500 0.897
Tc1 Tc 0.500 0.500 0.500
```

Energy in eV per atom: -5.968
DFT formation energy in eV per atom: -0.554
M_tot in μB per formula unit: 0.00
Space-group type: P4/mmm, No. 123



What did the first record say?
The following is a DFT calculation (GGA-PBE) of crystalline ScGa2Tc2 at its relaxed geometry.

Cell and atoms, written as CIF:
```
data_ScGa2Tc2
_chemical_formula_sum 'Sc2 Ga4 Tc4'
_cell_length_a 6.951
_cell_length_b 6.951
_cell_length_c 3.281
_cell_angle_alpha 90.00
_cell_angle_beta 90.00
_cell_angle_gamma 90.00
_space_group_name_H-M_alt 'P 1'
_space_group_IT_number 1
_space_group_name_Hall 'P 1'
loop_
_atom_site_label
_atom_site_type_symbol
_atom_site_fract_x
_atom_site_fract_y
_atom_site_fract_z
Sc1 Sc 0.000 0.000 0.000
Sc2 Sc 0.500 0.500 0.000
Ga1 Ga 0.129 0.371 0.000
Ga2 Ga 0.371 0.871 0.000
Ga3 Ga 0.629 0.129 0.000
Ga4 Ga 0.871 0.629 0.000
Tc1 Tc 0.168 0.668 0.500
Tc2 Tc 0.332 0.168 0.500
Tc3 Tc 0.668 0.832 0.500
Tc4 Tc 0.832 0.332 0.500
```

Energy in eV per atom: -6.937
Energy relative to the lowest polymorph listed for this composition in eV/atom: 0.0000
DFT formation energy in eV per atom: -0.314
M_tot in μB per formula unit: 0.97
Space-group type: P4/mbm, No. 127



Q: Which of these has the lowest DFT formation energy?
A: Sc5Ga4Tc



Q: Which of these has the lowest energy?
A: ScGa2Tc2